Here is an optimized crystal structure of LiCePrY from Alexandria. Energies are from PBE.

Properties
- formation enthalpy at 0 K (eV per formula unit) = 1.1

a = 5.5033 Å, b = 5.5033 Å, c = 5.5033 Å
α = 60.00°, β = 60.00°, γ = 60.00°
Sites, in units of the cell vectors:
Y: 0.7500 0.7500 0.7500
Ce: 0.5000 0.5000 0.5000
Li: 0.0000 0.0000 0.0000
Pr: 0.2500 0.2500 0.2500

Here is an optimized crystal structure of MgReOF2 from Alexandria. Energies are from PBE.

Properties
- polymorph energy (0 for the lowest one) (meV per atom) = 0.0
- formation energy without anion corrections (eV/atom) = -1.14

a = 3.7007 Å, b = 3.7007 Å, c = 4.5833 Å
α = 90.00°, β = 90.00°, γ = 90.00°
Sites, in units of the cell vectors:
Re: 0.5000 0.5000 0.5000
O: 0.0000 0.0000 0.5000
F: 0.5000 0.0000 0.0000
F: 0.0000 0.5000 0.0000
Mg: 0.0000 0.0000 0.0000

Here is an optimized crystal structure of Ca2Y2Ge from Alexandria. Energies are from PBE.

Properties
- formation enthalpy at 0 K (eV per formula unit) = -0.4

a = 7.6825 Å, b = 7.6825 Å, c = 5.7689 Å
α = 90.00°, β = 90.00°, γ = 90.00°
Sites, in units of the cell vectors:
Ca: 0.6623 0.8377 0.5000
Ca: 0.8377 0.3377 0.5000
Ca: 0.3377 0.1623 0.5000
Ca: 0.1623 0.6623 0.5000
Ge: 0.0000 0.0000 0.0000
Ge: 0.5000 0.5000 0.0000
Y: 0.3427 0.8427 0.0000
Y: 0.6573 0.1573 0.0000
Y: 0.1573 0.3427 0.0000
Y: 0.8427 0.6573 0.0000

Here is an optimized crystal structure of Pm7PrIr2 from Alexandria. Energies are from PBE.

Properties
- formation enthalpy at 0 K (eV per formula unit) = -1.4

a = 5.5399 Å, b = 8.4930 Å, c = 8.4930 Å
α = 117.02°, β = 90.00°, γ = 90.00°
Sites, in units of the cell vectors:
Ir: 0.5000 0.2958 0.7042
Ir: 0.5000 0.7042 0.2958
Pm: 0.5000 0.3251 0.0603
Pm: 0.5000 0.6749 0.9397
Pm: 0.5000 0.0603 0.3251
Pm: 0.5000 0.5000 0.5000
Pm: 0.5000 0.9397 0.6749
Pm: 0.0000 0.2944 0.7056
Pm: 0.0000 0.7056 0.2944
Pr: 0.0000 0.0000 0.0000

Here is an optimized crystal structure of LaCe5Te6 from Alexandria. Energies are from PBE.

Properties
- formation energy without anion corrections (eV/atom) = -1.40

a = 7.8046 Å, b = 7.7880 Å, c = 7.8159 Å
α = 60.12°, β = 80.40°, γ = 70.45°
Sites, in units of the cell vectors:
Te: 0.2514 0.2530 0.0000
Te: 0.7478 0.4206 0.6636
Te: 0.2522 0.5794 0.3364
Te: 0.7486 0.7470 0.0000
Te: 0.7478 0.0842 0.3364
Te: 0.2522 0.9158 0.6636
Ce: 0.5000 0.5000 0.0000
Ce: 0.0000 0.3333 0.3335
Ce: 0.5000 0.8345 0.3309
Ce: 0.5000 0.1655 0.6691
Ce: 0.0000 0.6667 0.6665
La: 0.0000 0.0000 0.0000

Here is an optimized crystal structure of CdNiOs from Alexandria. Energies are from PBE.

Properties
- polymorph energy (0 for the lowest one) (meV per atom) = 258.1
- formation enthalpy at 0 K (eV per formula unit) = 1.7

a = 4.4298 Å, b = 4.4298 Å, c = 2.6865 Å
α = 90.00°, β = 90.00°, γ = 120.00°
Sites, in units of the cell vectors:
Ni: 0.3333 0.6667 0.4995
Cd: 0.0000 0.0000 0.0003
Os: 0.6667 0.3333 0.5001

Here is an optimized crystal structure of LaZr3Zn from Alexandria. Energies are from PBE.

Properties
- polymorph energy (0 for the lowest one) (meV per atom) = 0.0
- formation enthalpy at 0 K (eV per formula unit) = 2.4

a = 5.1399 Å, b = 5.1399 Å, c = 5.1399 Å
α = 90.00°, β = 90.00°, γ = 90.00°
Sites, in units of the cell vectors:
Zr: 0.0000 0.5000 0.0000
Zr: 0.5000 0.0000 0.0000
Zr: 0.0000 0.0000 0.5000
Zn: 0.0000 0.0000 0.0000
La: 0.5000 0.5000 0.5000

Here is an optimized crystal structure of NdErPd14 from Alexandria. Energies are from PBE.

Properties
- formation enthalpy at 0 K (eV per formula unit) = -6.2

a = 5.7932 Å, b = 5.7932 Å, c = 7.9591 Å
α = 90.00°, β = 90.00°, γ = 90.00°
Sites, in units of the cell vectors:
Pd: 0.1277 0.6223 0.7605
Pd: 0.6223 0.1277 0.2395
Pd: 0.1277 0.6223 0.2395
Pd: 0.6223 0.6223 0.7605
Pd: 0.1277 0.1277 0.7605
Pd: 0.3750 0.8750 0.5000
Pd: 0.8750 0.8750 0.0000
Pd: 0.3750 0.8750 0.0000
Pd: 0.1277 0.1277 0.2395
Pd: 0.6223 0.1277 0.7605
Pd: 0.8750 0.3750 0.5000
Pd: 0.6223 0.6223 0.2395
Pd: 0.3750 0.3750 0.0000
Pd: 0.8750 0.3750 0.0000
Nd: 0.8750 0.8750 0.5000
Er: 0.3750 0.3750 0.5000

Here is an optimized crystal structure of ZnInRh from Alexandria. Energies are from PBE.

Properties
- formation enthalpy at 0 K (eV per formula unit) = -1.0

a = 4.1050 Å, b = 5.2431 Å, c = 5.2006 Å
α = 90.00°, β = 90.00°, γ = 113.05°
Sites, in units of the cell vectors:
Zn: 0.5000 0.0000 0.0000
Zn: 0.5000 0.0000 0.5000
In: 0.7964 0.5929 0.2500
In: 0.2036 0.4071 0.7500
Rh: 0.9082 0.8163 0.7500
Rh: 0.0918 0.1837 0.2500

Here is an optimized crystal structure of La4Hg2Ge from Alexandria. Energies are from PBE.

Properties
- formation enthalpy at 0 K (eV per formula unit) = -3.1

a = 5.4887 Å, b = 6.6241 Å, c = 6.6241 Å
α = 111.94°, β = 90.00°, γ = 90.00°
Sites, in units of the cell vectors:
La: 0.5000 0.9165 0.9165
La: 0.5000 0.3692 0.3692
La: 0.0000 0.1428 0.6429
La: 0.0000 0.6429 0.1428
Ge: 0.0000 0.1429 0.1429
Hg: 0.5000 0.8709 0.4148
Hg: 0.5000 0.4147 0.8710

Here is an optimized crystal structure of SrDy3Zn4 from Alexandria. Energies are from PBE.

Properties
- formation enthalpy at 0 K (eV per formula unit) = -2.1

a = 5.1412 Å, b = 7.2880 Å, c = 10.2858 Å
α = 90.00°, β = 90.00°, γ = 90.00°
Sites, in units of the cell vectors:
Dy: 0.0000 0.0000 0.5000
Dy: 0.5000 0.0000 0.7500
Dy: 0.5001 0.5000 0.2500
Dy: 0.5000 0.0000 0.2500
Dy: 0.0000 0.0000 0.0000
Dy: 0.4999 0.5000 0.7500
Zn: 0.5000 0.7690 0.0000
Zn: 0.5000 0.7690 0.5000
Zn: 0.9999 0.2312 0.2500
Zn: 0.9999 0.7688 0.2500
Zn: 0.0001 0.2312 0.7500
Zn: 0.5000 0.2310 0.0000
Zn: 0.0001 0.7688 0.7500
Zn: 0.5000 0.2310 0.5000
Sr: 0.0000 0.5000 0.5000
Sr: 0.0000 0.5000 0.0000

Here is an optimized crystal structure of AcHg2Au from Alexandria. Energies are from PBE.

Properties
- formation enthalpy at 0 K (eV per formula unit) = -1.9

a = 4.9983 Å, b = 4.9983 Å, c = 9.5837 Å
α = 105.06°, β = 105.06°, γ = 89.94°
Sites, in units of the cell vectors:
Hg: 0.0000 0.5000 0.5000
Hg: 0.8603 0.8603 0.2210
Hg: 0.5000 0.0000 0.5000
Hg: 0.1397 0.1397 0.7790
Ac: 0.6372 0.6372 0.7762
Ac: 0.3628 0.3628 0.2238
Au: 0.7514 0.2486 0.0000
Au: 0.2486 0.7514 0.0000

Number 1: calculated density 5310 kg/m3, total magnetization 2.7 μB/f.u.. Number 2: calculated density 6998 kg/m3, total magnetization 4.9 μB/f.u.. Number 3: calculated density 3225 kg/m3, total magnetization 0.6 μB/f.u.. Number 4: calculated density 7185 kg/m3, total magnetization 0.0 μB/f.u.. Number 5: calculated density 6867 kg/m3, total magnetization 5.7 μB/f.u.. Number 6: calculated density 13142 kg/m3, total magnetization 0.0 μB/f.u.. Number 7: calculated density 5845 kg/m3, total magnetization 1.5 μB/f.u.. Number 8: calculated density 11199 kg/m3, total magnetization 0.0 μB/f.u.. Number 9: calculated density 9129 kg/m3, total magnetization 0.0 μB/f.u.. Number 10: calculated density 7652 kg/m3, total magnetization 0.0 μB/f.u.. Number 11: calculated density 7210 kg/m3, total magnetization 0.0 μB/f.u.. Number 12: calculated density 12305 kg/m3, total magnetization 0.0 μB/f.u..